Material: Hf3Al3CuNi2
Method: DFT, PBE
State: relaxed

Cell: 6.629 6.629 3.753 Å, 90.00 90.00 120.00°
Atoms (fractional coordinates):
Ni 0.667 0.333 0.500
Ni 0.333 0.667 0.500
Hf 0.421 0.421 0.000
Al 0.000 0.248 0.500
Al 0.248 0.000 0.500
Al 0.752 0.752 0.500
Cu 0.000 0.000 0.000
Hf 0.579 0.000 0.000
Hf 0.000 0.579 0.000

Calculated values
For the total energy, the calculation gives -6.762 eV per atom.

***

Material: Li2YPt
Method: DFT, PBE
State: relaxed

Cell: 4.709 4.709 4.709 Å, 60.00 60.00 60.00°
Atoms (fractional coordinates):
Li 0.500 0.500 0.500
Pt 0.250 0.250 0.250
Y 0.000 0.000 0.000
Li 0.750 0.750 0.750

Calculated values
For the total energy, the calculation gives -4.623 eV per atom.

***

Material: ZrZnFeRe
Method: DFT, PBE
State: relaxed

Cell: 4.454 4.454 4.454 Å, 60.00 60.00 60.00°
Atoms (fractional coordinates):
Fe 0.750 0.750 0.750
Zn 0.000 0.000 0.000
Re 0.250 0.250 0.250
Zr 0.500 0.500 0.500

Calculated values
For the total energy, the calculation gives -7.414 eV per atom. For the energy above the lowest structure with this stoichiometry, the calculation gives 28 meV/atom. The energy of formation comes out at 0.22 eV per atom.

***

Material: NaGdLu
Method: DFT, PBE
State: relaxed

Cell: 5.279 5.279 5.279 Å, 60.00 60.00 60.00°
Atoms (fractional coordinates):
Lu 0.750 0.750 0.750
Na 0.000 0.000 0.000
Gd 0.250 0.250 0.250

Calculated values
For the total energy, the calculation gives -2.660 eV per atom. For the energy above the lowest structure with this stoichiometry, the calculation gives 0 meV/atom.

***

no.,density (g/cm3)
1,9.27
2,6.70
3,10.60
4,5.67